Entry A
Here is Ag5Se3 after structural relaxation from Alexandria via LeMat-Bulk. Energies are from PBE-GGA.

extended XYZ file:
```
8
Lattice="-1.780 -4.295 -4.108 5.892 1.070 -1.619 1.286 -3.071 2.653" Properties=species:S:1:pos:R:3 pbc="T T T"
Ag 3.621 -3.870 -2.819
Se 0.354 -4.787 -2.298
Ag -0.890 -2.147 -2.054
Se 5.045 -1.508 -0.776
Ag 0.000 0.000 0.000
Ag 1.779 -2.425 -0.254
Ag 2.946 0.535 -0.809
Se 2.056 -1.612 -2.863
```

Summary:
symmetry	Cmmm (65)

Entry B
Here is Ag5Se3 after structural relaxation from Alexandria via LeMat-Bulk. Energies are from PBE-GGA.

extended XYZ file:
```
16
Lattice="8.018 0.000 0.000 -4.009 6.944 0.000 0.000 0.000 5.994" Properties=species:S:1:pos:R:3 pbc="T T T"
Ag 3.155 5.465 1.498
Se -2.499 4.328 1.498
Se 4.997 0.000 1.498
Ag 0.000 4.629 2.997
Ag 4.009 2.315 0.000
Se 2.499 4.328 4.495
Se 3.021 0.000 4.495
Ag 4.009 2.315 2.997
Ag -3.155 5.465 4.495
Ag 0.000 4.629 0.000
Se -1.510 2.616 4.495
Se 1.510 2.616 1.498
Ag 0.854 1.479 4.495
Ag 1.708 0.000 1.498
Ag 6.310 0.000 4.495
Ag -0.854 1.479 1.498
```

Summary:
symmetry	P6_3/mcm (193)

In terms of stability, entry A leads; the second structure lies 0.009 eV/atom higher.

Entry A
Here is SiAgSe3 after structural relaxation from Alexandria via LeMat-Bulk. Energies are from PBE-GGA.

extended XYZ file:
```
20
Lattice="6.575 0.000 0.000 0.000 6.915 0.007 0.000 -1.975 11.739" Properties=species:S:1:pos:R:3 pbc="T T T"
Si 1.650 -1.636 11.341
Ag 0.683 1.942 9.281
Ag 5.892 2.997 2.465
Se 6.265 1.378 4.517
Se 3.597 3.848 10.390
Se 3.728 4.094 6.032
Ag 3.971 5.467 8.338
Se 0.310 3.561 7.229
Si 4.925 6.575 0.405
Se 0.441 3.315 11.587
Se 2.847 0.845 5.714
Se 1.482 4.039 3.527
Ag 2.605 -0.528 3.408
Se 1.805 -0.406 9.393
Si 1.637 2.809 5.475
Se 6.134 1.625 0.159
Se 5.093 0.900 8.219
Se 4.770 5.345 2.353
Se 2.978 1.092 1.356
Si 4.938 2.130 6.271
```

Summary:
symmetry	P2_1/c (14)

Entry B
Here is SiAgSe3 after structural relaxation from Alexandria via LeMat-Bulk. Energies are from PBE-GGA.

extended XYZ file:
```
5
Lattice="-2.050 3.226 3.281 -4.544 -0.850 -2.003 -0.729 -3.775 3.256" Properties=species:S:1:pos:R:3 pbc="T T T"
Si -3.662 -0.699 2.267
Se -2.272 -0.425 -1.002
Ag 0.000 0.000 0.000
Se -0.364 -1.887 1.628
Se -1.025 1.613 1.641
```

Summary:
symmetry	Pm-3m (221)

Entry C
Here is SiAgSe3 after structural relaxation from Alexandria via LeMat-Bulk. Energies are from PBE-GGA.

extended XYZ file:
```
10
Lattice="6.196 0.000 0.000 0.000 5.683 -3.281 0.000 0.000 6.562" Properties=species:S:1:pos:R:3 pbc="T T T"
Se 0.000 0.000 1.923
Ag 1.549 3.789 0.000
Si 4.647 0.000 0.000
Ag 4.647 1.894 3.281
Se 3.098 1.666 0.962
Se 0.000 4.017 2.319
Se 3.098 4.017 -2.319
Se 3.098 0.000 4.639
Si 1.549 0.000 0.000
Se 0.000 1.666 -0.962
```

Summary:
symmetry	P6_322 (182)

Entry D
Here is SiAgSe3 after structural relaxation from Alexandria via LeMat-Bulk. Energies are from PBE-GGA.

extended XYZ file:
```
5
Lattice="-4.722 -0.389 1.117 0.733 -4.570 1.506 0.928 1.629 4.492" Properties=species:S:1:pos:R:3 pbc="T T T"
Se 0.367 -2.285 0.753
Ag -1.530 -1.665 3.557
Si 0.000 0.000 0.000
Se -2.361 -0.195 0.559
Se 0.464 0.815 2.246
```

Summary:
symmetry	Pm-3m (221)

In terms of stability, entry A leads; the second structure lies 0.073 eV/atom higher.

Entry A
Here is SiAgSe after structural relaxation from Alexandria via LeMat-Bulk. Energies are from PBE-GGA.

extended XYZ file:
```
3
Lattice="-3.816 -0.515 -4.338 -5.062 -2.792 -0.468 3.322 3.552 3.160" Properties=species:S:1:pos:R:3 pbc="T T T"
Si -6.063 -2.258 -3.282
Ag -0.155 -0.058 -0.084
Se -2.660 -0.991 -1.440
```

Summary:
symmetry	I4mm (107)

Entry B
Here is SiAgSe after structural relaxation from Alexandria via LeMat-Bulk. Energies are from PBE-GGA.

extended XYZ file:
```
3
Lattice="7.934 0.004 -0.004 7.445 2.727 0.012 0.489 0.041 2.723" Properties=species:S:1:pos:R:3 pbc="T T T"
Se 5.615 0.967 1.788
Si 10.108 1.778 0.969
Ag 0.633 0.067 2.696
```

Summary:
symmetry	Fmm2 (42)

Entry C
Here is SiAgSe after structural relaxation from Alexandria via LeMat-Bulk. Energies are from PBE-GGA.

extended XYZ file:
```
3
Lattice="6.460 0.001 0.008 4.444 4.689 -0.008 -5.036 -3.313 2.324" Properties=species:S:1:pos:R:3 pbc="T T T"
Ag 1.070 0.460 0.000
Se 3.856 1.658 0.000
Si 5.978 2.571 0.000
```

Summary:
symmetry	Imm2 (44)

Entry D
Here is SiAgSe after structural relaxation from Alexandria via LeMat-Bulk. Energies are from PBE-GGA.

extended XYZ file:
```
3
Lattice="4.517 0.000 0.000 2.258 3.912 0.000 2.258 1.304 3.688" Properties=species:S:1:pos:R:3 pbc="T T T"
Se 4.517 2.608 1.844
Ag 0.000 0.000 0.000
Si 6.775 3.912 2.766
```

Summary:
symmetry	F-43m (216)

In terms of stability, entry C leads; the second structure lies 0.204 eV/atom higher.

Entry A
Here is Ag2SnSe2 after structural relaxation from Alexandria via LeMat-Bulk. Energies are from PBE-GGA.

extended XYZ file:
```
10
Lattice="7.766 -0.692 0.028 -2.291 7.453 0.028 -2.413 -2.979 4.636" Properties=species:S:1:pos:R:3 pbc="T T T"
Sn -1.609 5.668 1.187
Ag 2.701 2.634 2.679
Se -2.777 4.147 3.505
Ag 0.362 1.148 2.013
Se 0.731 3.773 1.187
Ag 3.221 4.678 0.361
Ag -0.158 -0.896 4.332
Se 5.840 -0.365 1.187
Sn 4.672 -1.886 3.505
Se 2.332 0.009 3.505
```

Summary:
symmetry	C2/c (15)

Entry B
Here is Ag2SnSe2 after structural relaxation from Alexandria via LeMat-Bulk. Energies are from PBE-GGA.

extended XYZ file:
```
5
Lattice="4.165 0.000 0.971 1.970 3.670 0.971 0.384 0.230 7.776" Properties=species:S:1:pos:R:3 pbc="T T T"
Sn 0.000 0.000 0.000
Se 3.699 2.213 2.971
Ag 5.128 3.068 6.264
Ag 1.391 0.832 3.454
Se 2.819 1.687 6.746
```

Summary:
symmetry	R-3m (166)

Entry C
Here is Ag2SnSe2 after structural relaxation from Alexandria via LeMat-Bulk. Energies are from PBE-GGA.

extended XYZ file:
```
10
Lattice="8.002 0.000 0.000 0.000 8.002 0.000 0.000 0.000 3.490" Properties=species:S:1:pos:R:3 pbc="T T T"
Sn 4.001 4.001 0.000
Ag 6.982 2.980 1.745
Se 6.606 5.397 0.000
Se 2.605 6.606 0.000
Sn 0.000 0.000 0.000
Ag 5.022 6.982 1.745
Se 5.397 1.396 0.000
Ag 1.021 5.022 1.745
Ag 2.980 1.021 1.745
Se 1.396 2.605 0.000
```

Summary:
symmetry	P4/mbm (127)

In terms of stability, entry B leads; the second structure lies 0.023 eV/atom higher.